TmZn6CuAg | PBE | optimized geometry

Calculated values
Calculated volume: 326 Å³ per cell
Energy of formation: 0.02 eV per atom

POSCAR file:
```
TmZn6CuAg
1.0
6.9570 0.0000 0.0000
0.0000 8.8567 0.0000
-3.4785 -4.4284 5.2903
Tm Zn Cu Ag
2 12 2 2
Direct
0.7035 0.4535 0.4069 Tm
0.2965 0.5465 0.5931 Tm
0.5706 0.8206 0.1412 Zn
0.9866 0.2366 0.9731 Zn
0.9333 0.1440 0.2513 Zn
0.3181 0.6073 0.2513 Zn
0.3181 0.1440 0.2513 Zn
0.9333 0.6073 0.2513 Zn
0.4294 0.1794 0.8588 Zn
0.0134 0.7634 0.0269 Zn
0.0667 0.8560 0.7487 Zn
0.6819 0.3927 0.7487 Zn
0.6819 0.8560 0.7487 Zn
0.0667 0.3927 0.7487 Zn
0.5000 0.5000 0.0000 Cu
0.5000 0.0000 0.0000 Cu
0.5000 0.0000 0.5000 Ag
0.0000 0.0000 0.5000 Ag
```

=====

AcCeEr2Hg4 | PBE | optimized geometry

Calculated values
Calculated volume: 226 Å³ per cell
Energy of formation: -0.40 eV per atom

POSCAR file:
```
AcCeEr2Hg4
1.0
5.3595 0.0000 0.0000
2.6798 4.6415 0.0000
2.6798 1.5472 9.0858
Ac Ce Er Hg
1 1 2 4
Direct
0.0000 0.0000 0.0000 Ac
0.5000 0.5000 0.5000 Ce
0.7549 0.7549 0.7352 Er
0.2451 0.2451 0.2648 Er
0.3826 0.3826 0.8521 Hg
0.8734 0.8734 0.3798 Hg
0.1266 0.1266 0.6202 Hg
0.6174 0.6174 0.1479 Hg
```

=====

SrPa2PtN4 | PBE | optimized geometry

Calculated values
Calculated volume: 267 Å³ per cell
Formation energy without anion corrections: -1189 meV per atom

POSCAR file:
```
SrPa2PtN4
1.0
-1.3117 -1.9497 -2.9212
6.0280 -1.7515 0.8681
-3.5232 -8.5224 7.2700
Sr Pa Pt N
2 4 2 8
Direct
0.0683 0.1366 0.7500 Sr
0.9317 0.8634 0.2500 Sr
0.3646 0.7293 0.5671 Pa
0.6354 0.2707 0.0671 Pa
0.6354 0.2707 0.4329 Pa
0.3646 0.7293 0.9329 Pa
0.7686 0.5373 0.7500 Pt
0.2314 0.4627 0.2500 Pt
0.2474 0.4949 0.0802 N
0.7526 0.5051 0.5802 N
0.7526 0.5051 0.9198 N
0.2474 0.4949 0.4198 N
0.0000 0.0000 0.5000 N
0.0000 0.0000 0.0000 N
0.4285 0.8570 0.7500 N
0.5715 0.1430 0.2500 N
```

=====

Hf2TeWN | PBE | optimized geometry

Calculated values
Calculated volume: 129 Å³ per cell
Formation energy without anion corrections: 1807 meV per atom

POSCAR file:
```
Hf2TeWN
1.0
5.1059 0.0000 0.0000
0.0000 4.9584 0.0000
0.0000 0.0000 5.1059
Te Hf W N
1 2 1 1
Direct
0.0000 0.5000 0.0000 Te
0.0000 0.0000 0.5000 Hf
0.5000 0.0000 0.0000 Hf
0.0000 0.0000 0.0000 W
0.5000 0.5000 0.5000 N
```

=====

CsGe3N | PBE | optimized geometry

Calculated values
Calculated volume: 114 Å³ per cell
Relative energy among the computed polymorphs: 0 meV/atom
Formation energy without anion corrections: 998 meV per atom

POSCAR file:
```
CsGe3N
1.0
-2.2592 -1.0751 4.1605
-3.0542 -2.9048 -2.4091
3.0228 -3.7385 0.6754
Cs Ge N
1 3 1
Direct
0.5000 0.5000 0.5000 Cs
0.0000 0.5000 0.0000 Ge
0.0000 0.0000 0.5000 Ge
0.5000 0.0000 0.0000 Ge
0.0000 0.0000 0.0000 N
```

=====

Ca4InHgAu2 | PBE | optimized geometry

Calculated values
Calculated volume: 207 Å³ per cell
Energy of formation: -0.62 eV per atom

POSCAR file:
```
Ca4InHgAu2
1.0
5.2749 0.0000 0.0000
2.6375 4.5682 0.0000
2.6375 1.5227 8.5999
Ca In Hg Au
4 1 1 2
Direct
0.3761 0.3761 0.8716 Ca
0.8740 0.8740 0.3779 Ca
0.1260 0.1260 0.6221 Ca
0.6239 0.6239 0.1284 Ca
0.0000 0.0000 0.0000 In
0.5000 0.5000 0.5000 Hg
0.7474 0.7474 0.7578 Au
0.2526 0.2526 0.2422 Au
```

=====

Cs3KHg2Br9 | PBE | optimized geometry

Calculated values
Calculated volume: 604 Å³ per cell
Formation energy without anion corrections: -1085 meV per atom

POSCAR file:
```
Cs3KHg2Br9
1.0
-1.6045 3.0190 -7.1403
4.9143 -6.1697 0.6758
-8.6206 -6.9775 -1.0130
Cs K Hg Br
3 1 2 9
Direct
0.3333 0.6667 0.7284 Cs
0.0000 0.0000 0.0000 Cs
0.6667 0.3333 0.2716 Cs
0.0000 0.0000 0.5000 K
0.3333 0.6667 0.1617 Hg
0.6667 0.3333 0.8383 Hg
0.8366 0.1634 0.7106 Br
0.8366 0.6733 0.7106 Br
0.3267 0.1634 0.7106 Br
0.6733 0.8366 0.2894 Br
0.1634 0.3267 0.2894 Br
0.1634 0.8366 0.2894 Br
0.5000 0.0000 0.0000 Br
0.0000 0.5000 0.0000 Br
0.5000 0.5000 0.0000 Br
```

=====

AcUClO4 | PBE | optimized geometry

Calculated values
Calculated volume: 311 Å³ per cell
Formation energy without anion corrections: -2947 meV per atom

POSCAR file:
```
AcUClO4
1.0
-2.0032 -4.6468 5.3220
-3.1623 -6.3601 -1.8649
6.0361 -2.5904 -0.3560
Ac U Cl O
2 2 2 8
Direct
0.1872 0.1872 0.9292 Ac
0.8128 0.8128 0.0708 Ac
0.6290 0.6290 0.6071 U
0.3710 0.3710 0.3929 U
0.0337 0.0337 0.2567 Cl
0.9663 0.9663 0.7433 Cl
0.2543 0.2543 0.5633 O
0.7457 0.7457 0.4367 O
0.1291 0.4875 0.1813 O
0.5179 0.5179 0.3098 O
0.5125 0.8709 0.8187 O
0.4875 0.1291 0.1813 O
0.4821 0.4821 0.6902 O
0.8709 0.5125 0.8187 O
```

=====

ZnCuGe | PBE | optimized geometry

Calculated values
Calculated volume: 151 Å³ per cell
Energy of formation: 0.10 eV per atom

POSCAR file:
```
ZnCuGe
1.0
-0.5349 -4.0096 0.4155
3.0778 1.4186 -2.2473
6.1853 0.0564 8.5065
Ge Zn Cu
3 3 3
Direct
0.0000 0.0000 0.2273 Ge
0.3333 0.6667 0.8939 Ge
0.6667 0.3333 0.5606 Ge
0.0000 0.0000 0.9863 Zn
0.3333 0.6667 0.6530 Zn
0.6667 0.3333 0.3197 Zn
0.0000 0.0000 0.4696 Cu
0.3333 0.6667 0.1363 Cu
0.6667 0.3333 0.8030 Cu
```

=====

Tl6In2Pb3 | PBE | optimized geometry

Calculated values
Calculated volume: 334 Å³ per cell
Energy of formation: 0.01 eV per atom
Relative energy among the computed polymorphs: 5 meV/atom

POSCAR file:
```
Tl6In2Pb3
1.0
3.4673 0.0000 0.0000
1.7336 3.0027 0.0000
1.7336 1.0009 32.0809
Tl In Pb
6 2 3
Direct
0.0926 0.0926 0.7223 Tl
0.9074 0.9074 0.2777 Tl
0.1820 0.1820 0.4540 Tl
0.8180 0.8180 0.5460 Tl
0.3643 0.3643 0.9071 Tl
0.6357 0.6357 0.0929 Tl
0.4553 0.4553 0.6342 In
0.5447 0.5447 0.3658 In
0.0000 0.0000 0.0000 Pb
0.2715 0.2715 0.1854 Pb
0.7285 0.7285 0.8146 Pb
```

=====

AcTb4Pr7 | PBE | optimized geometry

Calculated values
Calculated volume: 426 Å³ per cell
Energy of formation: 0.01 eV per atom
Relative energy among the computed polymorphs: 0 meV/atom

POSCAR file:
```
AcTb4Pr7
1.0
-4.2945 -2.8881 5.3417
-3.3686 -3.2092 -4.4462
0.1549 -10.8576 4.6153
Ac Tb Pr
1 4 7
Direct
0.0000 0.0000 0.0000 Ac
0.4069 0.7217 0.3353 Tb
0.5931 0.2783 0.6647 Tb
0.8356 0.7825 0.6649 Tb
0.1644 0.2175 0.3351 Tb
0.7416 0.4996 0.0024 Pr
0.2584 0.5004 0.9976 Pr
0.0823 0.2820 0.6628 Pr
0.9177 0.7180 0.3372 Pr
0.3379 0.7742 0.6624 Pr
0.5000 0.0000 0.0000 Pr
0.6621 0.2258 0.3376 Pr
```

=====

Sm6Sn2Pt | PBE | optimized geometry

Calculated values
Calculated volume: 555 Å³ per cell
Energy of formation: -0.58 eV per atom

POSCAR file:
```
Sm6Sn2Pt
1.0
6.3399 0.0000 0.2801
0.0000 8.5126 0.0000
-0.4205 0.0000 10.2609
Sm Sn Pt
12 4 2
Direct
0.8860 0.9707 0.2383 Sm
0.8686 0.6771 0.5516 Sm
0.8780 0.6784 0.9489 Sm
0.6220 0.1784 0.5511 Sm
0.6314 0.1771 0.9484 Sm
0.6140 0.4707 0.2617 Sm
0.1140 0.0293 0.7617 Sm
0.1314 0.3229 0.4484 Sm
0.1220 0.3216 0.0511 Sm
0.3780 0.8216 0.4489 Sm
0.3686 0.8229 0.0516 Sm
0.3860 0.5293 0.7383 Sm
0.9150 0.3830 0.7478 Sn
0.5850 0.8830 0.7522 Sn
0.4150 0.1170 0.2478 Sn
0.0850 0.6170 0.2522 Sn
0.5000 0.5000 0.0000 Pt
0.0000 0.0000 0.5000 Pt
```

=====

Ac4CoAu | PBE | optimized geometry

Calculated values
Calculated volume: 432 Å³ per cell
Energy of formation: -0.25 eV per atom
Relative energy among the computed polymorphs: 0 meV/atom

POSCAR file:
```
Ac4CoAu
1.0
7.2613 -0.1140 0.0000
-1.3655 7.5897 0.0000
-2.9479 -3.7378 7.8518
Ac Co Au
8 2 2
Direct
0.2938 0.9588 0.5945 Ac
0.0279 0.8000 0.0896 Ac
0.1993 0.3643 0.4055 Ac
0.4383 0.7104 0.9104 Ac
0.7062 0.0412 0.4055 Ac
0.8007 0.6357 0.5945 Ac
0.9721 0.2000 0.9104 Ac
0.5617 0.2896 0.0896 Ac
0.8237 0.0737 0.1474 Co
0.1763 0.9263 0.8526 Co
0.3649 0.6149 0.2298 Au
0.6351 0.3851 0.7702 Au
```

=====

CoMoOs2 | PBE | optimized geometry

Calculated values
Calculated volume: 55 Å³ per cell
Energy of formation: 0.06 eV per atom
Relative energy among the computed polymorphs: 31 meV/atom

POSCAR file:
```
CoMoOs2
1.0
4.6550 0.0008 -0.0027
1.5342 4.3948 0.0027
-3.0931 -2.1999 2.6948
Co Mo Os
1 1 2
Direct
0.5000 0.5000 0.0000 Co
0.2500 0.7500 0.5000 Mo
0.0000 0.0000 0.0000 Os
0.7500 0.2500 0.5000 Os
```

=====

NiPdI2 | PBE | optimized geometry

Calculated values
Calculated volume: 108 Å³ per cell
Relative energy among the computed polymorphs: 146 meV/atom
Formation energy without anion corrections: 218 meV per atom

POSCAR file:
```
NiPdI2
1.0
-1.7505 -3.0285 1.7634
1.1102 -3.6624 -0.8366
5.3006 -1.9279 6.3020
I Ni Pd
2 1 1
Direct
0.1054 0.1054 0.6838 I
0.8946 0.8946 0.3162 I
0.5000 0.5000 0.5000 Ni
0.0000 0.0000 0.0000 Pd
```

=====

KZr2Te | PBE | optimized geometry

Calculated values
Calculated volume: 120 Å³ per cell
Formation energy without anion corrections: 242 meV per atom

POSCAR file:
```
KZr2Te
1.0
11.3107 -0.0073 -0.0043
10.7647 3.4718 -0.0043
10.7647 1.6894 3.0331
K Te Zr
1 1 2
Direct
0.2500 0.2500 0.2500 K
0.7500 0.7500 0.7500 Te
0.0194 0.0194 0.0194 Zr
0.4806 0.4806 0.4806 Zr
```

=====

BaNiW | PBE | optimized geometry

Calculated values
Calculated volume: 69 Å³ per cell
Energy of formation: 1.12 eV per atom
Relative energy among the computed polymorphs: 801 meV/atom

POSCAR file:
```
BaNiW
1.0
-1.0065 0.0774 3.2298
-1.7914 -1.7321 -2.2894
3.8147 -5.6968 1.3252
Ba Ni W
1 1 1
Direct
0.0000 0.0000 0.0079 Ba
0.6667 0.3333 0.3970 Ni
0.3333 0.6667 0.5951 W
```

=====

RbY3Zr | PBE | optimized geometry

Calculated values
Calculated volume: 159 Å³ per cell
Energy of formation: 1.40 eV per atom
Relative energy among the computed polymorphs: 756 meV/atom

POSCAR file:
```
RbY3Zr
1.0
-4.1914 -2.4653 -2.3889
1.1795 -4.5749 2.6518
-3.2239 1.5314 4.0760
Y Rb Zr
3 1 1
Direct
0.0000 0.5000 0.0000 Y
0.0000 0.0000 0.5000 Y
0.5000 0.0000 0.0000 Y
0.0000 0.0000 0.0000 Rb
0.5000 0.5000 0.5000 Zr
```

=====

ZnSn2TeO | PBE | optimized geometry

Calculated values
Calculated volume: 116 Å³ per cell
Formation energy without anion corrections: -266 meV per atom

POSCAR file:
```
ZnSn2TeO
1.0
-4.9174 2.2329 -0.1396
-0.9717 -1.9327 3.3145
1.8017 4.1523 2.9494
Zn Te Sn O
1 1 2 1
Direct
0.0000 0.5000 0.0000 Zn
0.5000 0.5000 0.5000 Te
0.0000 0.0000 0.5000 Sn
0.5000 0.0000 0.0000 Sn
0.0000 0.0000 0.0000 O
```

=====

Rb2NaGeCl6 | PBE | optimized geometry

Calculated values
Calculated volume: 289 Å³ per cell
Formation energy without anion corrections: -1441 meV per atom

POSCAR file:
```
Rb2NaGeCl6
1.0
7.4219 0.0000 0.0009
0.0000 7.4228 0.0008
3.7114 3.7119 5.2504
Rb Na Ge Cl
2 1 1 6
Direct
0.7501 0.2501 0.4998 Rb
0.2499 0.7499 0.5002 Rb
0.0000 0.0000 0.0000 Na
0.5000 0.5000 0.0000 Ge
0.2632 0.2632 0.4734 Cl
0.7369 0.7366 0.9999 Cl
0.2634 0.7368 0.0000 Cl
0.7366 0.2632 0.0000 Cl
0.2631 0.2634 0.0001 Cl
0.7368 0.7368 0.5266 Cl
```